(1)
Computed, not measured: an optimized crystal structure of ThP2Rh at the PBE level of DFT.

POSCAR file:
```
ThP2Rh
1.0
-2.012 2.012 4.793
2.012 -2.012 4.793
2.012 2.012 -4.793
Th P Rh
1 2 1
Cartesian
0.000 0.000 0.000
0.000 0.000 3.640
0.000 0.000 5.946
2.012 0.000 2.397
```

Calculated values
ΔH_f (0 K) ... -1.12 eV per atom
Size of the total moment ... 0.00 Bohr magnetons per cell
Crystal system ... tetragonal
Uncorrected energy ... -0.276 hartree per atom

---

(2)
Computed, not measured: an optimized crystal structure of RhPb3 at the PBE level of DFT.

POSCAR file:
```
RhPb3
1.0
3.314 -4.293 0.000
3.314 4.293 0.000
0.000 0.000 3.540
Rh Pb
1 3
Cartesian
0.000 0.000 0.000
1.657 2.147 1.770
1.657 -2.147 1.770
3.314 0.000 0.000
```

Calculated values
ΔH_f (0 K) ... 0.30 eV per atom
Size of the total moment ... 0.00 Bohr magnetons per cell
Crystal system ... orthorhombic
Uncorrected energy ... -0.159 hartree per atom

---

(3)
Computed, not measured: an optimized crystal structure of ZnInCl2 at the PBE level of DFT.

POSCAR file:
```
ZnInCl2
1.0
1.864 1.076 8.588
-1.864 1.076 8.588
0.000 -2.153 8.588
Zn In Cl
1 1 2
Cartesian
0.000 0.000 0.000
0.000 0.000 19.112
0.000 0.000 7.264
0.000 0.000 12.270
```

Calculated values
Size of the total moment ... 0.00 Bohr magnetons per cell
Crystal system ... trigonal
Uncorrected energy ... -0.096 hartree per atom

---

(4)
Computed, not measured: an optimized crystal structure of TbNd3Ir2 at the PBE level of DFT.

POSCAR file:
```
TbNd3Ir2
1.0
8.289 -2.192 0.000
8.289 2.192 0.000
-4.849 0.000 9.925
Tb Nd Ir
2 6 4
Cartesian
0.417 0.000 1.622
11.311 0.000 8.303
0.213 0.000 5.188
0.396 0.000 8.959
6.084 0.000 2.734
5.643 0.000 7.192
11.332 0.000 0.967
11.515 0.000 4.738
-2.540 0.000 9.151
2.781 0.000 6.588
8.946 0.000 3.337
14.268 0.000 0.774
```

Calculated values
ΔH_f (0 K) ... -0.57 eV per atom
Size of the total moment ... 0.00 Bohr magnetons per cell
Crystal system ... monoclinic
Uncorrected energy ... -0.245 hartree per atom

---

(5)
Computed, not measured: an optimized crystal structure of SrZr2Rh at the PBE level of DFT.

POSCAR file:
```
SrZr2Rh
1.0
3.407 0.000 0.000
0.000 3.407 0.000
0.000 0.000 8.855
Sr Zr Rh
1 2 1
Cartesian
0.000 0.000 0.000
1.704 1.704 2.944
1.704 1.704 5.910
0.000 0.000 4.427
```

Calculated values
ΔH_f (0 K) ... -0.02 eV per atom
Size of the total moment ... 0.01 Bohr magnetons per cell
Crystal system ... tetragonal
Uncorrected energy ... -0.241 hartree per atom

---

(6)
Computed, not measured: an optimized crystal structure of Y3CuTe2 at the PBE level of DFT.

POSCAR file:
```
Y3CuTe2
1.0
3.658 -6.340 0.000
3.658 6.340 0.000
-2.462 0.000 7.166
Y Cu Te
6 2 4
Cartesian
-0.097 2.235 5.522
1.066 0.000 1.599
-0.097 -2.235 5.522
4.952 2.235 1.644
3.789 0.000 5.568
4.952 -2.235 1.644
3.658 4.198 0.000
3.658 -4.198 0.000
-1.231 0.000 3.583
2.428 1.994 3.583
3.658 0.000 0.000
2.428 -1.994 3.583
```

Calculated values
Size of the total moment ... 0.00 Bohr magnetons per cell
Crystal system ... monoclinic
Uncorrected energy ... -0.217 hartree per atom

---

(7)
Computed, not measured: an optimized crystal structure of Rb3NaW2S8 at the PBE level of DFT.

POSCAR file:
```
Rb3NaW2S8
1.0
7.335 0.000 0.000
-3.668 6.352 0.000
0.000 0.000 9.595
Rb Na W S
3 1 2 8
Cartesian
0.000 0.000 0.000
0.000 4.235 6.217
3.668 2.117 3.378
0.000 0.000 4.797
0.000 4.235 2.176
3.668 2.117 7.419
0.000 2.154 2.934
-1.802 5.275 2.934
0.000 4.235 9.593
1.866 1.077 6.661
1.802 5.275 2.934
3.668 2.117 0.002
5.470 1.077 6.661
3.668 4.198 6.661
```

Calculated values
Size of the total moment ... 0.00 Bohr magnetons per cell
Crystal system ... trigonal
Uncorrected energy ... -0.200 hartree per atom

---

(8)
Computed, not measured: an optimized crystal structure of BePtRh2 at the PBE level of DFT.

POSCAR file:
```
BePtRh2
1.0
2.679 -3.705 0.000
2.679 3.705 0.000
0.000 0.000 2.732
Be Pt Rh
1 1 2
Cartesian
0.000 0.000 0.000
2.679 0.000 0.000
1.339 1.853 1.366
1.339 -1.853 1.366
```

Calculated values
ΔH_f (0 K) ... -0.14 eV per atom
Size of the total moment ... 0.00 Bohr magnetons per cell
Crystal system ... orthorhombic
Uncorrected energy ... -0.230 hartree per atom

---

(9)
Computed, not measured: an optimized crystal structure of ThCo3Sn6 at the PBE level of DFT.

POSCAR file:
```
ThCo3Sn6
1.0
6.537 0.000 0.000
0.720 6.497 0.000
3.221 2.873 4.972
Th Co Sn
1 3 6
Cartesian
0.000 0.000 0.000
3.512 5.581 3.648
3.589 3.189 2.231
5.974 2.837 3.635
2.500 2.209 0.049
3.855 5.422 0.926
5.389 7.264 2.783
5.836 3.222 0.931
7.842 4.538 2.771
8.722 7.776 2.767
```

Calculated values
ΔH_f (0 K) ... -0.14 eV per atom
Size of the total moment ... 0.00 Bohr magnetons per cell
Crystal system ... triclinic
Uncorrected energy ... -0.199 hartree per atom

---

(10)
Computed, not measured: an optimized crystal structure of PIrS2O at the PBE level of DFT.

POSCAR file:
```
PIrS2O
1.0
4.186 0.000 0.000
0.000 4.186 0.000
0.000 0.000 3.976
P Ir S O
1 1 2 1
Cartesian
0.000 0.000 0.000
2.093 2.093 0.000
0.000 2.093 1.988
2.093 0.000 1.988
0.000 0.000 1.988
```

Calculated values
Size of the total moment ... 0.00 Bohr magnetons per cell
Crystal system ... tetragonal
Uncorrected energy ... -0.165 hartree per atom

---

(11)
Computed, not measured: an optimized crystal structure of KHo2PtO5 at the PBE level of DFT.

POSCAR file:
```
KHo2PtO5
1.0
6.557 0.000 0.000
0.000 6.557 0.000
0.000 0.000 5.851
K Ho Pt O
2 4 2 10
Cartesian
0.000 0.000 0.000
3.279 3.279 0.000
1.154 2.125 2.926
2.125 5.404 2.926
4.432 1.154 2.926
5.404 4.432 2.926
0.000 3.279 0.000
3.279 0.000 0.000
0.000 0.000 2.926
0.890 4.168 1.544
0.890 4.168 4.307
2.389 0.890 1.544
2.389 0.890 4.307
3.279 3.279 2.926
4.168 5.668 1.544
4.168 5.668 4.307
5.668 2.389 1.544
5.668 2.389 4.307
```

Calculated values
Size of the total moment ... 2.04 Bohr magnetons per cell
Crystal system ... tetragonal
Uncorrected energy ... -0.254 hartree per atom

---

(12)
Computed, not measured: an optimized crystal structure of Y3ThHg6 at the PBE level of DFT.

POSCAR file:
```
Y3ThHg6
1.0
9.271 0.000 0.000
0.000 5.198 0.000
-3.351 0.000 10.717
Y Th Hg
6 2 12
Cartesian
-1.174 1.299 4.153
0.735 3.898 2.106
-0.847 1.299 10.653
6.767 3.898 0.064
5.185 1.299 8.611
7.094 3.898 6.564
1.941 1.299 6.599
3.979 3.898 4.118
-2.736 3.898 9.712
-1.078 1.299 7.578
0.677 3.898 5.174
2.058 1.299 3.300
0.627 3.898 8.529
3.746 3.898 0.966
2.173 1.299 9.751
5.293 1.299 2.188
3.862 3.898 7.417
5.243 1.299 5.543
6.997 3.898 3.139
8.656 1.299 1.005
```

Calculated values
ΔH_f (0 K) ... -0.38 eV per atom
Size of the total moment ... 0.00 Bohr magnetons per cell
Crystal system ... monoclinic
Uncorrected energy ... -0.119 hartree per atom

---

(13)
Computed, not measured: an optimized crystal structure of Th6In2Rh at the PBE level of DFT.

POSCAR file:
```
Th6In2Rh
1.0
8.945 0.000 0.000
-4.472 7.747 0.000
0.000 0.000 3.773
Th In Rh
6 2 1
Cartesian
-1.798 3.114 0.000
-3.355 5.811 1.886
1.117 1.935 1.886
3.596 0.000 0.000
2.674 4.632 0.000
6.710 0.000 1.886
0.000 5.164 1.886
4.472 2.582 1.886
0.000 0.000 0.000
```

Calculated values
ΔH_f (0 K) ... -0.35 eV per atom
Size of the total moment ... 0.00 Bohr magnetons per cell
Crystal system ... hexagonal
Uncorrected energy ... -0.247 hartree per atom

---

(14)
Computed, not measured: an optimized crystal structure of VP2ICl at the PBE level of DFT.

POSCAR file:
```
VP2ICl
1.0
5.194 0.000 0.000
0.000 5.194 0.000
0.000 0.000 5.159
V P I Cl
1 2 1 1
Cartesian
0.000 0.000 0.000
0.000 2.597 2.580
2.597 0.000 2.580
2.597 2.597 2.580
2.597 2.597 0.000
```

Calculated values
Size of the total moment ... 2.73 Bohr magnetons per cell
Crystal system ... tetragonal
Uncorrected energy ... -0.118 hartree per atom

---

(15)
Computed, not measured: an optimized crystal structure of HoPuMgTc at the PBE level of DFT.

POSCAR file:
```
HoPuMgTc
1.0
0.000 3.529 3.529
3.529 0.000 3.529
3.529 3.529 0.000
Ho Pu Mg Tc
1 1 1 1
Cartesian
0.000 0.000 0.000
3.529 3.529 3.529
5.293 5.293 5.293
1.764 1.764 1.764
```

Calculated values
ΔH_f (0 K) ... 0.12 eV per atom
Size of the total moment ... 5.36 Bohr magnetons per cell
Crystal system ... cubic
Uncorrected energy ... -0.279 hartree per atom

---

(16)
Computed, not measured: an optimized crystal structure of Dy2MgAu at the PBE level of DFT.

POSCAR file:
```
Dy2MgAu
1.0
1.891 1.092 9.168
-1.891 1.092 9.168
0.000 -2.184 9.168
Dy Mg Au
2 1 1
Cartesian
0.000 0.000 6.544
0.000 0.000 20.958
0.000 0.000 0.000
0.000 0.000 13.751
```

Calculated values
ΔH_f (0 K) ... -0.28 eV per atom
Size of the total moment ... 0.00 Bohr magnetons per cell
Crystal system ... trigonal
Uncorrected energy ... -0.140 hartree per atom

---

(17)
Computed, not measured: an optimized crystal structure of BiPIr2Pt at the PBE level of DFT.

POSCAR file:
```
BiPIr2Pt
1.0
4.354 0.000 0.000
0.000 4.354 0.000
0.000 0.000 5.392
Bi P Ir Pt
1 1 2 1
Cartesian
0.000 0.000 0.000
0.000 0.000 2.696
0.000 2.177 2.696
2.177 0.000 2.696
2.177 2.177 0.000
```

Calculated values
ΔH_f (0 K) ... 0.73 eV per atom
Size of the total moment ... 0.00 Bohr magnetons per cell
Crystal system ... tetragonal
Uncorrected energy ... -0.216 hartree per atom

---

(18)
Computed, not measured: an optimized crystal structure of NiSe2 at the PBE level of DFT.

POSCAR file:
```
NiSe2
1.0
-2.864 2.864 3.133
2.864 -2.864 3.133
2.864 2.864 -3.133
Ni Se
2 4
Cartesian
0.000 0.000 1.567
0.000 0.000 4.700
3.780 0.916 0.000
0.916 1.949 0.000
1.949 0.916 3.133
-0.916 1.949 3.133
```

Calculated values
Size of the total moment ... 0.00 Bohr magnetons per cell
Crystal system ... tetragonal
Uncorrected energy ... -0.150 hartree per atom

---

(19)
Computed, not measured: an optimized crystal structure of TbPrPBr at the PBE level of DFT.

POSCAR file:
```
TbPrPBr
1.0
2.034 1.175 7.380
-2.034 1.175 7.380
0.000 -2.349 7.380
Tb Pr P Br
1 1 1 1
Cartesian
0.000 0.000 0.000
0.000 0.000 4.385
0.000 0.000 13.398
0.000 0.000 9.471
```

Calculated values
Size of the total moment ... 0.00 Bohr magnetons per cell
Crystal system ... trigonal
Uncorrected energy ... -0.206 hartree per atom

---

(20)
Computed, not measured: an optimized crystal structure of LaNd2Zn at the PBE level of DFT.

POSCAR file:
```
LaNd2Zn
1.0
1.860 1.074 10.715
-1.860 1.074 10.715
0.000 -2.148 10.715
La Nd Zn
1 2 1
Cartesian
0.000 0.000 0.000
0.000 0.000 18.314
0.000 0.000 24.540
0.000 0.000 5.343
```

Calculated values
ΔH_f (0 K) ... -0.03 eV per atom
Size of the total moment ... 0.00 Bohr magnetons per cell
Crystal system ... trigonal
Uncorrected energy ... -0.146 hartree per atom

---

(21)
Computed, not measured: an optimized crystal structure of Mo2As at the PBE level of DFT.

POSCAR file:
```
Mo2As
1.0
6.063 0.000 0.000
0.000 4.171 0.000
0.000 0.000 7.544
Mo As
8 4
Cartesian
0.069 1.043 1.378
0.763 1.043 4.111
2.268 3.128 0.339
2.962 3.128 5.150
3.100 1.043 2.394
3.795 1.043 7.206
5.299 3.128 3.434
5.994 3.128 6.167
1.327 1.043 6.588
1.705 3.128 2.815
4.358 1.043 4.729
4.736 3.128 0.957
```

Calculated values
ΔH_f (0 K) ... 0.01 eV per atom
Size of the total moment ... 0.00 Bohr magnetons per cell
Crystal system ... orthorhombic
Uncorrected energy ... -0.322 hartree per atom

---

(22)
Computed, not measured: an optimized crystal structure of CrHgBiC2 at the PBE level of DFT.

POSCAR file:
```
CrHgBiC2
1.0
3.982 0.000 0.000
0.000 3.982 0.000
0.000 0.000 5.586
Cr Hg Bi C
1 1 1 2
Cartesian
0.000 0.000 0.000
1.991 1.991 2.793
0.000 0.000 2.793
0.000 1.991 0.000
1.991 0.000 0.000
```

Calculated values
ΔH_f (0 K) ... 1.39 eV per atom
Size of the total moment ... 0.35 Bohr magnetons per cell
Crystal system ... tetragonal
Uncorrected energy ... -0.186 hartree per atom

---

(23)
Computed, not measured: an optimized crystal structure of Cr3Rh2 at the PBE level of DFT.

POSCAR file:
```
Cr3Rh2
1.0
4.164 0.000 0.000
-2.082 3.606 0.000
0.000 0.000 5.128
Cr Rh
3 2
Cartesian
0.000 0.000 0.000
0.000 2.404 1.821
2.082 1.202 3.307
0.000 2.404 4.306
2.082 1.202 0.821
```

Calculated values
ΔH_f (0 K) ... 0.49 eV per atom
Size of the total moment ... 7.55 Bohr magnetons per cell
Crystal system ... trigonal
Uncorrected energy ... -0.302 hartree per atom

---

(24)
Computed, not measured: an optimized crystal structure of Tm2Pu2Ru3 at the PBE level of DFT.

POSCAR file:
```
Tm2Pu2Ru3
1.0
4.009 -2.311 0.000
4.009 2.311 0.000
-2.665 0.000 8.100
Tm Pu Ru
2 2 3
Cartesian
0.002 0.000 3.074
5.351 0.000 5.026
2.674 0.000 1.093
2.680 0.000 7.008
0.000 0.000 0.000
0.004 0.000 6.211
5.349 0.000 1.889
```

Calculated values
ΔH_f (0 K) ... -0.25 eV per atom
Size of the total moment ... 8.62 Bohr magnetons per cell
Crystal system ... monoclinic
Uncorrected energy ... -0.353 hartree per atom

---

(25)
Computed, not measured: an optimized crystal structure of AcPm2Pd2 at the PBE level of DFT.

POSCAR file:
```
AcPm2Pd2
1.0
8.244 0.000 0.000
0.000 8.244 0.000
0.000 0.000 4.015
Ac Pm Pd
2 4 4
Cartesian
0.000 0.000 0.000
4.122 4.122 0.000
1.316 2.806 2.007
2.806 6.928 2.007
5.438 1.316 2.007
6.928 5.438 2.007
1.035 5.157 0.000
3.087 1.035 0.000
5.157 7.209 0.000
7.209 3.087 0.000
```

Calculated values
ΔH_f (0 K) ... -0.60 eV per atom
Size of the total moment ... 0.00 Bohr magnetons per cell
Crystal system ... tetragonal
Uncorrected energy ... -0.198 hartree per atom